Entry 1:
## LiErMg5 (PBE-GGA)

Data for crystalline LiErMg5 at its relaxed geometry.

Calculated values
**Formation enthalpy at 0 K**: 1.0 eV per formula unit
**Symmetry**: No. 65
**Crystal system**: orthorhombic
**Uncorrected energy**: -1.92 eV/atom
**Total moment**: 0.00 Bohr magnetons per cell

Cell lengths 5.5051, 5.5051, 6.6019 Å; angles 90.01, 90.01, 111.50 degrees
With the nearest neighbours (Å) after each atom.
Fractional coordinates of all 7 atoms:
Mg1 0.0000 0.0000 0.5000  2 Li 3.10, 8 Mg 3.19, 2 Er 3.30
Mg2 0.5000 0.0000 0.2563  6 Mg 3.10-3.38, 2 Li 3.19, 2 Er 3.23
Mg3 0.5000 0.0000 0.7437  6 Mg 3.10-3.38, 2 Li 3.19, 2 Er 3.23
Mg4 0.0000 0.5000 0.2563  6 Mg 3.10-3.38, 2 Li 3.19, 2 Er 3.23
Mg5 0.0000 0.5000 0.7437  6 Mg 3.10-3.38, 2 Li 3.19, 2 Er 3.23
Li1 0.5000 0.5000 0.5000  10 Mg 3.10-3.19
Er1 0.0000 0.0000 0.0000  10 Mg 3.23-3.30



Entry 2:
## LiErMg2 (PBE-GGA)

Data for crystalline LiErMg2 at its relaxed geometry.

Calculated values
**Formation enthalpy at 0 K**: 0.1 eV per formula unit
**Symmetry**: No. 160
**Crystal system**: trigonal
**Uncorrected energy**: -2.38 eV/atom
**Total moment**: 0.00 Bohr magnetons per cell

Cell lengths 3.2853, 3.2853, 10.8285 Å; angles 81.27, 81.27, 60.00 degrees
With the nearest neighbours (Å) after each atom.
Fractional coordinates of all 4 atoms:
Mg1 0.0782 0.0782 0.7654  3 Li 3.13, 6 Mg 3.29, 3 Er 3.40
Mg2 0.2550 0.2550 0.2351  3 Li 3.16, 6 Mg 3.29, 3 Er 3.41
Er1 0.4996 0.4996 0.5011  6 Er 3.29, 6 Mg 3.40-3.41
Li1 0.6672 0.6672 0.9985  6 Mg 3.13-3.16, 6 Li 3.29



Entry 3:
## Li3ErMg3 (PBE-GGA)

Data for crystalline Li3ErMg3 at its relaxed geometry.

Calculated values
**Formation enthalpy at 0 K**: 3.4 eV per formula unit
**Symmetry**: No. 223
**Crystal system**: cubic
**Uncorrected energy**: -1.67 eV/atom
**Total moment**: 0.00 Bohr magnetons per cell

Cell lengths 7.0138, 7.0138, 7.0138 Å; angles 90.00, 90.00, 90.00 degrees
With the nearest neighbours (Å) after each atom.
Fractional coordinates of all 14 atoms:
Li1 0.5000 0.0000 0.7500  4 Mg 2.48
Li2 0.7500 0.5000 0.0000  4 Mg 2.48
Li3 0.0000 0.7500 0.5000  4 Mg 2.48
Li4 0.5000 0.0000 0.2500  4 Mg 2.48
Li5 0.0000 0.2500 0.5000  4 Mg 2.48
Li6 0.2500 0.5000 0.0000  4 Mg 2.48
Er1 0.0000 0.0000 0.0000  12 Li 3.92, 12 Mg 3.92
Er2 0.5000 0.5000 0.5000  12 Li 3.92, 12 Mg 3.92
Mg1 0.2500 0.0000 0.5000  4 Li 2.48
Mg2 0.5000 0.2500 0.0000  4 Li 2.48
Mg3 0.0000 0.5000 0.2500  4 Li 2.48
Mg4 0.7500 0.0000 0.5000  4 Li 2.48
Mg5 0.5000 0.7500 0.0000  4 Li 2.48
Mg6 0.0000 0.5000 0.7500  4 Li 2.48



Entry 4:
## LiErMg3 (PBE-GGA)

Data for crystalline LiErMg3 at its relaxed geometry.

Calculated values
**Formation enthalpy at 0 K**: 0.0 eV per formula unit
**Symmetry**: No. 12
**Crystal system**: monoclinic
**Uncorrected energy**: -2.25 eV/atom
**Total moment**: 0.00 Bohr magnetons per cell

Cell lengths 5.3967, 5.0230, 10.1758 Å; angles 104.29, 116.33, 90.00 degrees
With the nearest neighbours (Å) after each atom.
Fractional coordinates of all 10 atoms:
Mg1 0.1732 0.7562 0.5125  4 Li 2.88-3.09, 5 Mg 3.07-3.13
Mg2 0.5027 0.3406 0.6813  3 Li 2.97-3.09, 6 Mg 3.09-3.25, 2 Er 3.16-3.22
Mg3 0.3699 0.0561 0.1123  1 Li 2.87, 3 Mg 3.11-3.12
Mg4 0.6301 0.9439 0.8877  1 Li 2.87, 3 Mg 3.11-3.12
Mg5 0.4973 0.6594 0.3187  3 Li 2.97-3.09, 6 Mg 3.09-3.25, 2 Er 3.16-3.22
Mg6 0.8268 0.2438 0.4875  4 Li 2.88-3.09, 5 Mg 3.07-3.13
Er1 0.1583 0.4378 0.8756  5 Mg 3.16-3.40, 2 Li 3.27, 1 Er 3.37
Er2 0.8417 0.5622 0.1244  5 Mg 3.16-3.40, 2 Li 3.27, 1 Er 3.37
Li1 0.1847 0.1714 0.3427  8 Mg 2.87-3.09
Li2 0.8153 0.8286 0.6573  8 Mg 2.87-3.09



Entry 5:
## LiErMg14 (PBE-GGA)

Data for crystalline LiErMg14 at its relaxed geometry.

Calculated values
**Formation enthalpy at 0 K**: -0.1 eV per formula unit
**Symmetry**: No. 123
**Crystal system**: tetragonal
**Uncorrected energy**: -1.81 eV/atom
**Total moment**: 0.00 Bohr magnetons per cell

Cell lengths 6.5535, 6.5535, 8.7595 Å; angles 90.00, 90.00, 90.01 degrees
With the nearest neighbours (Å) after each atom.
Fractional coordinates of all 16 atoms:
Mg1 0.3750 0.3750 0.0000  12 Mg 3.15-3.28
Mg2 0.1275 0.1275 0.7542  10 Mg 3.15-3.31, 1 Li 3.20, 1 Er 3.23
Mg3 0.6225 0.6225 0.2458  10 Mg 3.15-3.31, 1 Li 3.20, 1 Er 3.23
Mg4 0.1275 0.6225 0.7542  10 Mg 3.15-3.31, 1 Li 3.20, 1 Er 3.23
Mg5 0.1275 0.1275 0.2458  10 Mg 3.15-3.31, 1 Li 3.20, 1 Er 3.23
Mg6 0.3750 0.8750 0.5000  8 Mg 3.21, 2 Li 3.28, 2 Er 3.28
Mg7 0.8750 0.3750 0.0000  12 Mg 3.16-3.28
Mg8 0.8750 0.8750 0.0000  12 Mg 3.18-3.28
Mg9 0.3750 0.8750 0.0000  12 Mg 3.16-3.28
Mg10 0.6225 0.6225 0.7542  10 Mg 3.15-3.31, 1 Li 3.20, 1 Er 3.23
Mg11 0.6225 0.1275 0.2458  10 Mg 3.15-3.31, 1 Li 3.20, 1 Er 3.23
Mg12 0.1275 0.6225 0.2458  10 Mg 3.15-3.31, 1 Li 3.20, 1 Er 3.23
Mg13 0.8750 0.3750 0.5000  8 Mg 3.21, 2 Li 3.28, 2 Er 3.28
Mg14 0.6225 0.1275 0.7542  10 Mg 3.15-3.31, 1 Li 3.20, 1 Er 3.23
Li1 0.3750 0.3750 0.5000  12 Mg 3.20-3.28
Er1 0.8750 0.8750 0.5000  12 Mg 3.23-3.28



Entry 6:
## LiEr2Mg (PBE-GGA)

Data for crystalline LiEr2Mg at its relaxed geometry.

Calculated values
**Formation enthalpy at 0 K**: 0.2 eV per formula unit
**Symmetry**: No. 225
**Crystal system**: cubic
**Uncorrected energy**: -3.10 eV/atom
**Total moment**: 0.02 Bohr magnetons per cell

Cell lengths 5.2726, 5.2726, 5.2726 Å; angles 60.00, 60.00, 60.00 degrees
With the nearest neighbours (Å) after each atom.
Fractional coordinates of all 4 atoms:
Er1 0.7500 0.7500 0.7500  4 Li 3.23, 4 Mg 3.23
Er2 0.2500 0.2500 0.2500  4 Li 3.23, 4 Mg 3.23
Mg1 0.0000 0.0000 0.0000  8 Er 3.23
Li1 0.5000 0.5000 0.5000  8 Er 3.23



Entry 7:
## LiErMg6 (PBE-GGA)

Data for crystalline LiErMg6 at its relaxed geometry.

Calculated values
**Formation enthalpy at 0 K**: -0.2 eV per formula unit
**Symmetry**: No. 123
**Crystal system**: tetragonal
**Uncorrected energy**: -2.03 eV/atom
**Total moment**: 0.00 Bohr magnetons per cell

Cell lengths 4.5830, 4.5830, 9.0682 Å; angles 90.00, 90.00, 90.00 degrees
With the nearest neighbours (Å) after each atom.
Fractional coordinates of all 8 atoms:
Mg1 0.5000 0.0000 0.2597  8 Mg 3.16-3.29, 2 Li 3.16, 2 Er 3.29
Mg2 0.0000 0.5000 0.2597  8 Mg 3.16-3.29, 2 Li 3.16, 2 Er 3.29
Mg3 0.5000 0.0000 0.7403  8 Mg 3.16-3.29, 2 Li 3.16, 2 Er 3.29
Mg4 0.5000 0.5000 0.5000  8 Mg 3.16, 4 Li 3.24
Mg5 0.0000 0.5000 0.7403  8 Mg 3.16-3.29, 2 Li 3.16, 2 Er 3.29
Mg6 0.5000 0.5000 0.0000  4 Er 3.24, 8 Mg 3.29
Er1 0.0000 0.0000 0.0000  12 Mg 3.24-3.29
Li1 0.0000 0.0000 0.5000  12 Mg 3.16-3.24



Entry 8:
## Li3ErMg7 (PBE-GGA)

Data for crystalline Li3ErMg7 at its relaxed geometry.

Calculated values
**Formation enthalpy at 0 K**: 1.1 eV per formula unit
**Symmetry**: No. 12
**Crystal system**: monoclinic
**Uncorrected energy**: -1.85 eV/atom
**Total moment**: 0.00 Bohr magnetons per cell

Cell lengths 6.0447, 6.6502, 6.6502 Å; angles 82.81, 94.47, 94.47 degrees
With the nearest neighbours (Å) after each atom.
Fractional coordinates of all 11 atoms:
Er1 0.5000 0.5000 0.5000  4 Mg 3.02-3.17
Mg1 0.7307 0.4119 0.0677  5 Mg 2.94-3.29, 3 Li 3.03-3.18
Mg2 0.7307 0.0677 0.4119  5 Mg 2.94-3.29, 3 Li 3.03-3.18
Mg3 0.1919 0.2222 0.2222  3 Li 2.89-3.04, 5 Mg 2.94-3.19, 1 Er 3.17
Mg4 0.2693 0.5881 0.9323  5 Mg 2.94-3.29, 3 Li 3.03-3.18
Mg5 0.8081 0.7778 0.7778  3 Li 2.89-3.04, 5 Mg 2.94-3.19, 1 Er 3.17
Mg6 0.2693 0.9323 0.5881  5 Mg 2.94-3.29, 3 Li 3.03-3.18
Mg7 0.0000 0.5000 0.5000  2 Li 2.79, 2 Er 3.02, 2 Mg 3.11
Li1 0.5000 0.0000 0.0000  6 Mg 3.04
Li2 0.0000 0.8167 0.1833  5 Mg 2.79-3.03
Li3 0.0000 0.1833 0.8167  5 Mg 2.79-3.03



Entry 9:
## Li2ErMg4 (PBE-GGA)

Data for crystalline Li2ErMg4 at its relaxed geometry.

Calculated values
**Formation enthalpy at 0 K**: 0.0 eV per formula unit
**Symmetry**: No. 65
**Crystal system**: orthorhombic
**Uncorrected energy**: -2.11 eV/atom
**Total moment**: 0.00 Bohr magnetons per cell

Cell lengths 3.1109, 4.7734, 11.1470 Å; angles 102.36, 90.00, 90.00 degrees
With the nearest neighbours (Å) after each atom.
Fractional coordinates of all 7 atoms:
Mg1 0.5000 0.9209 0.8417  1 Li 3.03, 6 Mg 3.11-3.27, 4 Er 3.33
Mg2 0.0000 0.3471 0.6943  6 Mg 3.11-3.27, 6 Li 3.19-3.21, 1 Er 3.33
Mg3 0.5000 0.0791 0.1583  1 Li 3.03, 6 Mg 3.11-3.27, 4 Er 3.33
Mg4 0.0000 0.6529 0.3057  6 Mg 3.11-3.27, 6 Li 3.19-3.21, 1 Er 3.33
Li1 0.5000 0.2183 0.4366  2 Li 2.76, 1 Mg 3.03
Li2 0.5000 0.7817 0.5634  2 Li 2.76, 1 Mg 3.03
Er1 0.0000 0.5000 0.0000  2 Er 3.11, 10 Mg 3.33



Entry 10:
## Li2ErMg6 (PBE-GGA)

Data for crystalline Li2ErMg6 at its relaxed geometry.

Calculated values
**Formation enthalpy at 0 K**: 0.1 eV per formula unit
**Symmetry**: No. 12
**Crystal system**: monoclinic
**Uncorrected energy**: -1.99 eV/atom
**Total moment**: 0.00 Bohr magnetons per cell

Cell lengths 3.1351, 8.8838, 11.7689 Å; angles 112.17, 131.06, 90.00 degrees
With the nearest neighbours (Å) after each atom.
Fractional coordinates of all 9 atoms:
Mg1 0.6457 0.0016 0.6561  6 Mg 3.00-3.21, 3 Li 3.13-3.33
Mg2 0.3543 0.9984 0.3439  6 Mg 3.00-3.21, 3 Li 3.13-3.33
Mg3 0.3543 0.3455 0.3439  6 Mg 3.00-3.21, 3 Li 3.13-3.33
Mg4 0.5000 0.3327 0.0000  5 Mg 2.97-3.14, 4 Li 3.16-3.18
Mg5 0.6457 0.6545 0.6561  6 Mg 3.00-3.21, 3 Li 3.13-3.33
Mg6 0.5000 0.6673 0.0000  5 Mg 2.97-3.14, 4 Li 3.16-3.18
Er1 0.0000 0.0000 0.0000  2 Er 3.14, 12 Mg 3.35-3.45
Li1 0.2604 0.3488 0.6975  10 Mg 3.13-3.33, 2 Li 3.14
Li2 0.7396 0.6512 0.3025  10 Mg 3.13-3.33, 2 Li 3.14



Entry 11:
## LiEr2Mg5 (PBE-GGA)

Data for crystalline LiEr2Mg5 at its relaxed geometry.

Calculated values
**Formation enthalpy at 0 K**: 1.8 eV per formula unit
**Symmetry**: No. 123
**Crystal system**: tetragonal
**Uncorrected energy**: -2.15 eV/atom
**Total moment**: 0.00 Bohr magnetons per cell

Cell lengths 4.9003, 6.5489, 6.5489 Å; angles 90.00, 90.00, 90.00 degrees
With the nearest neighbours (Å) after each atom.
Fractional coordinates of all 8 atoms:
Mg1 0.0000 0.2745 0.7255  1 Li 2.54
Mg2 0.0000 0.2745 0.2745  1 Li 2.54
Mg3 0.0000 0.7255 0.7255  1 Li 2.54
Mg4 0.5000 0.0000 0.0000  2 Li 2.45
Mg5 0.0000 0.7255 0.2745  1 Li 2.54
Er1 0.5000 0.0000 0.5000  10 Mg 3.27-3.38
Er2 0.5000 0.5000 0.0000  10 Mg 3.27-3.38
Li1 0.0000 0.0000 0.0000  6 Mg 2.45-2.54



Look up the formation enthalpy at 0 K of the fourth one.
0.0 eV per formula unit



formation enthalpy at 0 K of number 3 (Li3ErMg3)?
3.4 eV per formula unit